Record 1
## NdThAgPb (PBE-GGA)

Data for an optimized crystal structure of NdThAgPb.

Lattice parameters (Å, degrees): 7.691 7.691 7.691 90.00 90.00 90.00
Space group F-43m (No. 216)
Inequivalent atoms, fractional coordinates:
1 Nd 0.000 0.000 0.000 [4 per cell]
2 Th 0.000 0.000 0.500 [4 per cell]
3 Ag 0.250 0.250 0.250 [4 per cell]
4 Pb 0.250 0.250 0.750 [4 per cell]

Results
volume = 28.44 A^3/atom
crystal system = cubic
calculated total energy = -4.932 eV per atom


Record 2
## NdTm2Ag2Pb2 (PBE-GGA)

Data for an optimized crystal structure of NdTm2Ag2Pb2.

Lattice parameters (Å, degrees): 4.9353 4.9353 26.1205 90.00 90.00 120.00
Space group R-3m (No. 166, hexagonal axes)
Inequivalent atoms, fractional coordinates:
1 Nd 0.0000 0.0000 0.0000 [3 per cell]
2 Tm 0.0000 0.0000 0.1345 [6 per cell]
3 Ag 0.0000 0.0000 0.4435 [6 per cell]
4 Pb 0.0000 0.0000 0.2645 [6 per cell]

Results
volume = 26.24 A^3/atom
crystal system = trigonal
calculated total energy = -4.140 eV per atom